(1)
Crystalline La2PSeCl at its relaxed geometry. Source: Alexandria via LeMat-Bulk, functional PBE.

POSCAR file:
```
La2PSeCl
1.0
5.560 0.000 0.000
0.000 5.560 0.000
0.000 0.000 4.979
La P Se Cl
2 1 1 1
Cartesian
0.000 2.780 0.000
2.780 0.000 0.000
0.000 0.000 0.000
0.000 0.000 2.489
2.780 2.780 2.489
```

Summary:
* volume: 154 Å³/cell
* N(E_F): 3.3 states/eV per cell
* space group: P4/mmm, No. 123
* M_tot: 0.0 μB/f.u.
* formation energy without anion corrections: -0.943 eV/atom
* uncorrected energy: -5.062 eV/atom


(2)
Crystalline La6P2SeCl3 at its relaxed geometry. Source: Alexandria via LeMat-Bulk, functional PBE.

POSCAR file:
```
La6P2SeCl3
1.0
9.218 -2.130 0.000
9.218 2.130 0.000
-1.849 0.000 8.251
La P Se Cl
6 2 1 3
Cartesian
-0.321 0.000 2.058
5.255 0.000 3.557
4.509 0.000 7.407
12.079 0.000 0.844
11.333 0.000 4.694
16.908 0.000 6.193
2.473 0.000 2.753
14.114 0.000 5.497
9.218 0.000 0.000
1.517 0.000 6.875
8.294 0.000 4.125
15.070 0.000 1.376
```

Summary:
* volume: 324 Å³/cell
* N(E_F): 7.2 states/eV per cell
* space group: C2/m, No. 12
* M_tot: 0.0 μB/f.u.
* formation energy without anion corrections: -1.738 eV/atom
* uncorrected energy: -5.855 eV/atom


(3)
Crystalline LaPSeCl2 at its relaxed geometry. Source: Alexandria via LeMat-Bulk, functional PBE.

POSCAR file:
```
LaPSeCl2
1.0
5.359 0.000 0.000
0.000 5.359 0.000
0.000 0.000 6.234
La P Se Cl
1 1 1 2
Cartesian
0.000 0.000 0.000
0.000 0.000 3.117
2.680 2.680 3.117
0.000 2.680 0.000
2.680 0.000 0.000
```

Summary:
* volume: 179 Å³/cell
* N(E_F): 4.5 states/eV per cell
* space group: P4/mmm, No. 123
* offset from the most stable computed form: 0 meV/atom
* M_tot: 1.5 μB/f.u.
* formation energy without anion corrections: -0.529 eV/atom
* uncorrected energy: -4.032 eV/atom


(4)
Crystalline La4P2SeCl at its relaxed geometry. Source: Alexandria via LeMat-Bulk, functional PBE.

POSCAR file:
```
La4P2SeCl
1.0
7.341 0.000 0.000
0.000 4.238 0.000
-2.438 0.000 7.112
La P Se Cl
4 2 1 1
Cartesian
1.191 0.000 1.587
-0.027 2.119 5.496
4.930 2.119 1.616
3.712 0.000 5.524
0.000 2.119 0.000
3.670 0.000 0.000
-1.219 0.000 3.556
2.452 2.119 3.556
```

Summary:
* volume: 221 Å³/cell
* N(E_F): 3.9 states/eV per cell
* space group: P2/m, No. 10
* M_tot: 0.0 μB/f.u.
* formation energy without anion corrections: -1.800 eV/atom
* uncorrected energy: -6.282 eV/atom


(5)
Crystalline La8P3SeCl4 at its relaxed geometry. Source: Alexandria via LeMat-Bulk, functional PBE.

POSCAR file:
```
La8P3SeCl4
1.0
4.256 2.457 6.880
-4.256 2.457 6.880
0.000 -4.915 6.880
La P Se Cl
8 3 1 4
Cartesian
-2.205 -1.273 11.901
0.000 0.000 4.981
0.000 -2.546 8.738
-2.205 1.273 8.738
2.205 -1.273 11.901
0.000 2.546 11.901
0.000 0.000 15.658
2.205 1.273 8.738
-4.256 0.000 10.319
-2.128 1.229 3.440
2.128 1.229 3.440
0.000 0.000 10.319
0.000 0.000 0.000
-2.128 -1.229 6.880
-2.128 1.229 13.759
0.000 2.457 6.879
```

Summary:
* volume: 432 Å³/cell
* N(E_F): 8.4 states/eV per cell
* space group: R-3m, No. 166
* M_tot: 0.0 μB/f.u.
* formation energy without anion corrections: -1.738 eV/atom
* uncorrected energy: -5.896 eV/atom


(6)
Crystalline La6PSe3Cl2 at its relaxed geometry. Source: Alexandria via LeMat-Bulk, functional PBE.

POSCAR file:
```
La6PSe3Cl2
1.0
3.697 -6.382 0.000
3.697 6.382 0.000
-2.451 0.000 6.947
La P Se Cl
6 1 3 2
Cartesian
-0.042 2.046 5.166
1.129 0.000 1.752
-0.042 -2.046 5.166
4.985 2.046 1.782
3.814 0.000 5.195
4.985 -2.046 1.782
-1.226 0.000 3.474
3.697 4.206 0.000
3.697 0.000 0.000
3.697 -4.206 0.000
2.472 2.112 3.474
2.472 -2.112 3.474
```

Summary:
* volume: 328 Å³/cell
* N(E_F): 6.5 states/eV per cell
* space group: C2/m, No. 12
* M_tot: 0.0 μB/f.u.
* formation energy without anion corrections: -1.829 eV/atom
* uncorrected energy: -5.923 eV/atom


(7)
Crystalline LaPSeCl2 at its relaxed geometry. Source: Alexandria via LeMat-Bulk, functional PBE.

POSCAR file:
```
LaPSeCl2
1.0
4.989 0.000 0.000
0.000 4.989 0.000
0.000 0.000 5.134
La P Se Cl
1 1 1 2
Cartesian
0.000 0.000 0.000
2.495 2.495 0.000
2.495 2.495 2.567
0.000 2.495 2.567
2.495 0.000 2.567
```

Summary:
* volume: 128 Å³/cell
* N(E_F): 5.9 states/eV per cell
* space group: P4/mmm, No. 123
* offset from the most stable computed form: 133 meV/atom
* M_tot: 0.2 μB/f.u.
* formation energy without anion corrections: -0.396 eV/atom
* uncorrected energy: -3.899 eV/atom


(8)
Crystalline La4SiP2Cl at its relaxed geometry. Source: Alexandria via LeMat-Bulk, functional PBE.

POSCAR file:
```
La4SiP2Cl
1.0
7.401 0.000 0.000
0.000 4.287 0.000
-2.429 0.000 7.031
La Si P Cl
4 1 2 1
Cartesian
1.176 0.000 1.640
-0.003 2.143 5.326
4.976 2.143 1.705
3.797 0.000 5.391
-1.214 0.000 3.516
0.000 2.143 0.000
3.701 0.000 0.000
2.486 2.143 3.516
```

Summary:
* volume: 223 Å³/cell
* N(E_F): 2.6 states/eV per cell
* space group: P2/m, No. 10
* M_tot: 0.0 μB/f.u.
* formation energy without anion corrections: -1.448 eV/atom
* uncorrected energy: -6.173 eV/atom


(9)
Crystalline LaSiPCl2 at its relaxed geometry. Source: Alexandria via LeMat-Bulk, functional PBE.

POSCAR file:
```
LaSiPCl2
1.0
4.795 0.000 0.000
0.000 4.795 0.000
0.000 0.000 4.933
La Si P Cl
1 1 1 2
Cartesian
0.000 0.000 0.000
2.398 2.398 2.467
2.398 2.398 0.000
0.000 2.398 2.467
2.398 0.000 2.467
```

Summary:
* volume: 113 Å³/cell
* N(E_F): 3.1 states/eV per cell
* space group: P4/mmm, No. 123
* offset from the most stable computed form: 0 meV/atom
* M_tot: 0.3 μB/f.u.
* formation energy without anion corrections: -0.679 eV/atom
* uncorrected energy: -4.570 eV/atom


(10)
Crystalline La6Si2PCl3 at its relaxed geometry. Source: Alexandria via LeMat-Bulk, functional PBE.

POSCAR file:
```
La6Si2PCl3
1.0
3.723 -6.458 0.000
3.723 6.458 0.000
-2.483 0.000 7.037
La Si P Cl
6 2 1 3
Cartesian
1.228 2.133 1.599
-0.022 0.000 5.437
1.228 -2.133 1.599
3.736 2.133 5.438
4.986 0.000 1.600
3.736 -2.133 5.438
3.723 2.151 0.000
3.723 -2.151 0.000
0.000 0.000 0.000
2.482 4.274 3.518
2.482 0.000 3.518
2.482 -4.274 3.518
```

Summary:
* volume: 338 Å³/cell
* N(E_F): 7.0 states/eV per cell
* space group: C2/m, No. 12
* M_tot: 0.0 μB/f.u.
* formation energy without anion corrections: -1.415 eV/atom
* uncorrected energy: -5.695 eV/atom


(11)
Crystalline La8Si3PCl4 at its relaxed geometry. Source: Alexandria via LeMat-Bulk, functional PBE.

POSCAR file:
```
La8Si3PCl4
1.0
4.319 2.494 7.014
-4.319 2.494 7.014
0.000 -4.987 7.014
La Si P Cl
8 3 1 4
Cartesian
0.000 0.000 5.129
-2.143 -1.237 12.115
0.000 -2.474 8.926
-2.143 1.237 8.926
2.143 -1.237 12.115
0.000 2.474 12.115
2.143 1.237 8.926
0.000 0.000 15.912
-4.319 0.000 10.520
-2.160 1.247 3.507
2.160 1.247 3.507
0.000 0.000 10.520
0.000 0.000 0.000
-2.160 -1.247 7.014
-2.160 1.247 14.027
0.000 2.494 7.013
```

Summary:
* volume: 453 Å³/cell
* N(E_F): 9.8 states/eV per cell
* space group: R-3m, No. 166
* M_tot: 0.0 μB/f.u.
* formation energy without anion corrections: -1.374 eV/atom
* uncorrected energy: -5.654 eV/atom


(12)
Crystalline LaSiPCl2 at its relaxed geometry. Source: Alexandria via LeMat-Bulk, functional PBE.

POSCAR file:
```
LaSiPCl2
1.0
5.395 0.000 0.000
0.000 5.395 0.000
0.000 0.000 5.928
La Si P Cl
1 1 1 2
Cartesian
0.000 0.000 0.000
2.697 2.697 2.964
0.000 0.000 2.964
0.000 2.697 0.000
2.697 0.000 0.000
```

Summary:
* volume: 173 Å³/cell
* N(E_F): 3.8 states/eV per cell
* space group: P4/mmm, No. 123
* offset from the most stable computed form: 369 meV/atom
* M_tot: 0.0 μB/f.u.
* formation energy without anion corrections: -0.310 eV/atom
* uncorrected energy: -4.201 eV/atom


(13)
Crystalline La4SiPCl2 at its relaxed geometry. Source: Alexandria via LeMat-Bulk, functional PBE.

POSCAR file:
```
La4SiPCl2
1.0
7.406 0.000 0.000
0.000 4.280 0.000
-2.477 0.000 7.051
La Si P Cl
4 1 1 2
Cartesian
1.211 0.000 1.575
-0.033 2.140 5.450
4.962 2.140 1.602
3.718 0.000 5.476
3.703 0.000 0.000
0.000 2.140 0.000
-1.239 0.000 3.526
2.464 2.140 3.526
```

Summary:
* volume: 223 Å³/cell
* N(E_F): 4.4 states/eV per cell
* space group: P2/m, No. 10
* M_tot: 0.0 μB/f.u.
* formation energy without anion corrections: -1.491 eV/atom
* uncorrected energy: -5.771 eV/atom


(14)
Crystalline La2SmP2Cl2 at its relaxed geometry. Source: Alexandria via LeMat-Bulk, functional PBE.

POSCAR file:
```
La2SmP2Cl2
1.0
-2.719 2.719 7.181
2.719 -2.719 7.181
2.719 2.719 -7.181
La Sm P Cl
2 1 2 2
Cartesian
0.000 0.000 1.491
0.000 0.000 12.870
0.000 0.000 7.181
2.719 0.000 0.000
0.000 2.719 0.000
0.000 0.000 4.284
0.000 0.000 10.078
```

Summary:
* volume: 212 Å³/cell
* N(E_F): 3.6 states/eV per cell
* space group: I4/mmm, No. 139
* M_tot: 0.0 μB/f.u.
* formation energy without anion corrections: -1.509 eV/atom
* uncorrected energy: -5.664 eV/atom


(15)
Crystalline LaSnPCl2 at its relaxed geometry. Source: Alexandria via LeMat-Bulk, functional PBE.

POSCAR file:
```
LaSnPCl2
1.0
5.399 0.000 0.000
0.000 5.399 0.000
0.000 0.000 5.853
La Sn P Cl
1 1 1 2
Cartesian
0.000 0.000 0.000
2.699 2.699 2.926
0.000 0.000 2.926
0.000 2.699 0.000
2.699 0.000 0.000
```

Summary:
* volume: 171 Å³/cell
* N(E_F): 2.4 states/eV per cell
* space group: P4/mmm, No. 123
* offset from the most stable computed form: 0 meV/atom
* M_tot: 0.1 μB/f.u.
* formation energy without anion corrections: -0.775 eV/atom
* uncorrected energy: -4.382 eV/atom


(16)
Crystalline LaSnP2Cl at its relaxed geometry. Source: Alexandria via LeMat-Bulk, functional PBE.

POSCAR file:
```
LaSnP2Cl
1.0
5.534 0.000 0.000
0.000 5.534 0.000
0.000 0.000 5.363
La Sn P Cl
1 1 2 1
Cartesian
0.000 0.000 0.000
2.767 2.767 2.681
0.000 2.767 0.000
2.767 0.000 0.000
0.000 0.000 2.681
```

Summary:
* volume: 164 Å³/cell
* N(E_F): 5.9 states/eV per cell
* space group: P4/mmm, No. 123
* offset from the most stable computed form: 326 meV/atom
* M_tot: 0.0 μB/f.u.
* formation energy without anion corrections: -0.030 eV/atom
* uncorrected energy: -4.349 eV/atom


(17)
Crystalline La3SnPCl at its relaxed geometry. Source: Alexandria via LeMat-Bulk, functional PBE.

POSCAR file:
```
La3SnPCl
1.0
7.522 0.000 0.000
0.000 4.349 0.000
-2.332 0.000 11.225
La Sn P Cl
6 2 2 2
Cartesian
-0.014 1.087 1.630
0.854 1.087 5.615
1.457 3.262 9.517
3.733 1.087 1.708
4.336 3.262 5.610
5.204 3.262 9.595
1.883 3.262 3.458
3.306 1.087 7.766
-0.431 1.087 10.533
5.621 3.262 0.692
-0.523 3.262 7.133
5.713 1.087 4.092
```

Summary:
* volume: 367 Å³/cell
* N(E_F): 8.0 states/eV per cell
* space group: P2_1/m, No. 11
* M_tot: 0.0 μB/f.u.
* formation energy without anion corrections: -1.323 eV/atom
* uncorrected energy: -5.663 eV/atom


(18)
Crystalline LaSnP2Cl at its relaxed geometry. Source: Alexandria via LeMat-Bulk, functional PBE.

POSCAR file:
```
LaSnP2Cl
1.0
5.060 0.000 0.000
0.000 5.060 0.000
0.000 0.000 5.092
La Sn P Cl
1 1 2 1
Cartesian
0.000 0.000 0.000
2.530 2.530 2.546
0.000 2.530 2.546
2.530 0.000 2.546
2.530 2.530 0.000
```

Summary:
* volume: 130 Å³/cell
* N(E_F): 1.0 states/eV per cell
* space group: P4/mmm, No. 123
* offset from the most stable computed form: 0 meV/atom
* M_tot: 0.0 μB/f.u.
* formation energy without anion corrections: -0.356 eV/atom
* uncorrected energy: -4.675 eV/atom


(19)
Crystalline LaSnPCl2 at its relaxed geometry. Source: Alexandria via LeMat-Bulk, functional PBE.

POSCAR file:
```
LaSnPCl2
1.0
5.184 0.000 0.000
0.000 5.184 0.000
0.000 0.000 5.402
La Sn P Cl
1 1 1 2
Cartesian
0.000 0.000 0.000
2.592 2.592 2.701
2.592 2.592 0.000
0.000 2.592 2.701
2.592 0.000 2.701
```

Summary:
* volume: 145 Å³/cell
* N(E_F): 5.0 states/eV per cell
* space group: P4/mmm, No. 123
* offset from the most stable computed form: 193 meV/atom
* M_tot: 0.3 μB/f.u.
* formation energy without anion corrections: -0.582 eV/atom
* uncorrected energy: -4.189 eV/atom


(20)
Crystalline SrLaP2Cl at its relaxed geometry. Source: Alexandria via LeMat-Bulk, functional PBE.

POSCAR file:
```
SrLaP2Cl
1.0
5.479 0.000 0.000
0.000 5.479 0.000
0.000 0.000 5.480
Sr La P Cl
1 1 2 1
Cartesian
0.000 0.000 0.000
2.739 2.739 2.740
0.000 2.739 2.740
2.739 0.000 2.740
2.739 2.739 0.000
```

Summary:
* volume: 164 Å³/cell
* N(E_F): 4.2 states/eV per cell
* space group: P4/mmm, No. 123
* offset from the most stable computed form: 0 meV/atom
* M_tot: 0.0 μB/f.u.
* formation energy without anion corrections: -0.816 eV/atom
* uncorrected energy: -4.671 eV/atom


(21)
Crystalline SrLaP2Cl at its relaxed geometry. Source: Alexandria via LeMat-Bulk, functional PBE.

POSCAR file:
```
SrLaP2Cl
1.0
5.377 0.000 0.000
0.000 5.377 0.000
0.000 0.000 5.238
Sr La P Cl
1 1 2 1
Cartesian
0.000 0.000 0.000
2.688 2.688 2.619
0.000 2.688 0.000
2.688 0.000 0.000
0.000 0.000 2.619
```

Summary:
* volume: 151 Å³/cell
* N(E_F): 2.2 states/eV per cell
* space group: P4/mmm, No. 123
* offset from the most stable computed form: 392 meV/atom
* M_tot: 0.0 μB/f.u.
* formation energy without anion corrections: -0.425 eV/atom
* uncorrected energy: -4.280 eV/atom


(22)
Crystalline LaTaPCl2 at its relaxed geometry. Source: Alexandria via LeMat-Bulk, functional PBE.

POSCAR file:
```
LaTaPCl2
1.0
4.789 0.000 0.000
0.000 4.789 0.000
0.000 0.000 4.962
La Ta P Cl
1 1 1 2
Cartesian
0.000 0.000 0.000
2.394 2.394 2.481
2.394 2.394 0.000
0.000 2.394 2.481
2.394 0.000 2.481
```

Summary:
* volume: 114 Å³/cell
* N(E_F): 4.0 states/eV per cell
* space group: P4/mmm, No. 123
* offset from the most stable computed form: 0 meV/atom
* M_tot: 0.0 μB/f.u.
* formation energy without anion corrections: -0.690 eV/atom
* uncorrected energy: -5.866 eV/atom


(23)
Crystalline LaTaP2Cl at its relaxed geometry. Source: Alexandria via LeMat-Bulk, functional PBE.

POSCAR file:
```
LaTaP2Cl
1.0
5.481 0.000 0.000
0.000 5.481 0.000
0.000 0.000 5.179
La Ta P Cl
1 1 2 1
Cartesian
0.000 0.000 0.000
2.740 2.740 2.589
0.000 2.740 0.000
2.740 0.000 0.000
0.000 0.000 2.589
```

Summary:
* volume: 156 Å³/cell
* N(E_F): 7.4 states/eV per cell
* space group: P4/mmm, No. 123
* offset from the most stable computed form: 1688 meV/atom
* M_tot: 2.2 μB/f.u.
* formation energy without anion corrections: 0.925 eV/atom
* uncorrected energy: -4.964 eV/atom


(24)
Crystalline LaTaP2Cl at its relaxed geometry. Source: Alexandria via LeMat-Bulk, functional PBE.

POSCAR file:
```
LaTaP2Cl
1.0
4.898 0.000 0.000
0.000 4.898 0.000
0.000 0.000 4.713
La Ta P Cl
1 1 2 1
Cartesian
0.000 0.000 0.000
2.449 2.449 2.357
0.000 2.449 2.357
2.449 0.000 2.357
2.449 2.449 0.000
```

Summary:
* volume: 113 Å³/cell
* N(E_F): 1.2 states/eV per cell
* space group: P4/mmm, No. 123
* offset from the most stable computed form: 0 meV/atom
* M_tot: 0.0 μB/f.u.
* formation energy without anion corrections: -0.763 eV/atom
* uncorrected energy: -6.653 eV/atom


(25)
Crystalline LaTaPCl2 at its relaxed geometry. Source: Alexandria via LeMat-Bulk, functional PBE.

POSCAR file:
```
LaTaPCl2
1.0
5.281 0.000 0.000
0.000 5.281 0.000
0.000 0.000 5.984
La Ta P Cl
1 1 1 2
Cartesian
0.000 0.000 0.000
2.640 2.640 2.992
0.000 0.000 2.992
0.000 2.640 0.000
2.640 0.000 0.000
```

Summary:
* volume: 167 Å³/cell
* N(E_F): 8.7 states/eV per cell
* space group: P4/mmm, No. 123
* offset from the most stable computed form: 912 meV/atom
* M_tot: 3.0 μB/f.u.
* formation energy without anion corrections: 0.222 eV/atom
* uncorrected energy: -4.954 eV/atom